Compound: Y2BiWO8
Source: the Alexandria database
Functional: PBE with a Hubbard U
Structure: relaxed

Values from the calculation:
- calculated volume (Å³/cell) = 174.8
- magnetic moment (μB/atom) = 0.00
- VASP energy (eV/atom) = -7.703

Lattice parameters (Å, degrees): 5.0539 5.0539 6.8485 90.00 90.00 91.84
Positions (direct):
Y  0.0000  0.0000  0.2421
Y  0.0000  0.0000  0.7579
Bi  0.5000  0.5000  0.5000
W  0.5000  0.5000  0.0000
O  0.1918  0.1918  0.5000
O  0.2228  0.2228  0.0000
O  0.3177  0.6823  0.2145
O  0.3177  0.6823  0.7855
O  0.6823  0.3177  0.2145
O  0.6823  0.3177  0.7855
O  0.7772  0.7772  0.0000
O  0.8082  0.8082  0.5000